(1)
4
Lattice="-1.0725 3.9221 -4.7578 2.4139 0.8485 -5.7116 -2.1100 -0.5736 -5.8642" Properties=species:S:1:pos:R:3 comment="BaAgAs2, optimized geometry, DFT GGA-PBE" dft_energy_ev_per_cell=-15.6 n_ef_per_ev_cell=1.797 space_group="No. 166" rho_g_cm3=6.0 crystal_system=trigonal vol_a3_per_cell=109.71 ef_ev_per_fu=-1.536 pbc="T T T"
As -0.0392 0.2139 -0.8326
Ag -0.5765 3.1477 -12.2502
Ba -0.1922 1.0492 -4.0834
As -0.3451 1.8846 -7.3342

---

(2)
6
Lattice="4.7853 -2.7628 0.0000 0.0000 5.5256 0.0000 0.0000 0.0000 6.6415" Properties=species:S:1:pos:R:3 comment="BaAgAs, optimized geometry, DFT GGA-PBE" dft_energy_ev_per_cell=-21.1 n_ef_per_ev_cell=0.288 space_group="No. 194" rho_g_cm3=6.1 crystal_system=hexagonal vol_a3_per_cell=175.61 ef_ev_per_fu=-1.143 pbc="T T T"
As 1.5951 2.7628 4.9811
Ag 0.0000 0.0000 3.3207
Ag 0.0000 0.0000 0.0000
As 3.1902 0.0000 1.6604
Ba 1.5951 2.7628 1.6604
Ba 3.1902 0.0000 4.9811

---

(3)
5
Lattice="-2.8747 0.7812 -3.3452 2.7425 -2.1048 -2.8483 -2.7920 -5.2313 1.1776" Properties=species:S:1:pos:R:3 comment="BaAg2As2, optimized geometry, DFT GGA-PBE" dft_energy_ev_per_cell=-19.2 n_ef_per_ev_cell=1.767 space_group="No. 123" rho_g_cm3=6.9 crystal_system=tetragonal vol_a3_per_cell=121.30 ef_ev_per_fu=-2.254 pbc="T T T"
Ag -0.0248 -3.6681 -0.8354
Ag -2.8333 -2.2250 -1.0838
Ba 0.0000 0.0000 0.0000
As -2.2396 -4.7342 -2.1800
As -0.6846 -1.8207 -2.8359

---

(4)
12
Lattice="1.9819 -0.2643 -6.4766 4.8774 -4.3067 1.8993 -8.1774 -3.6259 1.0769" Properties=species:S:1:pos:R:3 comment="Ba2AgAs3, optimized geometry, DFT GGA-PBE" dft_energy_ev_per_cell=-49.9 n_ef_per_ev_cell=4.924 space_group="No. 69" rho_g_cm3=5.7 crystal_system=orthorhombic vol_a3_per_cell=352.57 ef_ev_per_fu=-4.308 pbc="T T T"
Ba 5.2395 -3.4915 -3.4963
As -3.2972 -5.8497 0.9005
As -1.5116 -1.8820 -0.3858
As 0.1935 -6.3147 -3.1145
Ba 0.0648 -5.1090 0.3438
Ba 1.6198 -1.0794 -1.0809
Ba -1.3829 -3.0878 -3.8441
Ag -3.1113 -3.8738 -0.7940
As 1.9791 -2.3471 -4.4008
As -4.6181 -4.0055 -2.9206
Ag 1.7932 -4.3230 -2.7063
As 3.3000 -4.1913 -0.5797

---

(5)
4
Lattice="4.2710 0.0000 0.0000 0.0000 4.9670 -0.0124 0.0000 0.5564 5.5261" Properties=species:S:1:pos:R:3 comment="BaAgAs2, optimized geometry, DFT GGA-PBE" dft_energy_ev_per_cell=-16.1 n_ef_per_ev_cell=1.538 space_group="No. 10" rho_g_cm3=5.6 crystal_system=monoclinic vol_a3_per_cell=117.26 ef_ev_per_fu=-2.056 pbc="T T T"
Ag 2.1355 4.1426 4.1353
Ba 2.1355 1.3809 1.3784
As 0.0000 3.6585 2.6220
As 0.0000 4.0702 0.1225

---

(6)
3
Lattice="5.5295 0.0062 -0.0054 1.7327 5.2510 0.0054 -3.6241 -2.6382 3.2374" Properties=species:S:1:pos:R:3 comment="BaAgAs, optimized geometry, DFT GGA-PBE" dft_energy_ev_per_cell=-10.4 n_ef_per_ev_cell=0.672 space_group="No. 107" rho_g_cm3=5.7 crystal_system=tetragonal vol_a3_per_cell=93.97 ef_ev_per_fu=-1.007 pbc="T T T"
Ag 0.1703 0.1233 0.0000
As 2.2527 1.6307 0.0000
Ba 4.8393 3.5032 0.0000

---

What did the third record say?
5
Lattice="-2.8747 0.7812 -3.3452 2.7425 -2.1048 -2.8483 -2.7920 -5.2313 1.1776" Properties=species:S:1:pos:R:3 comment="BaAg2As2, optimized geometry, DFT GGA-PBE" dft_energy_ev_per_cell=-19.2 n_ef_per_ev_cell=1.767 space_group="No. 123" rho_g_cm3=6.9 crystal_system=tetragonal vol_a3_per_cell=121.30 ef_ev_per_fu=-2.254 pbc="T T T"
Ag -0.0248 -3.6681 -0.8354
Ag -2.8333 -2.2250 -1.0838
Ba 0.0000 0.0000 0.0000
As -2.2396 -4.7342 -2.1800
As -0.6846 -1.8207 -2.8359